CeSm2Ga3: optimized geometry, PBE-GGA.

Values from the calculation:
Energy relative to the lowest polymorph listed for this composition in eV/f.u.: 0.39
Magnetic moment in μB per formula unit: 0.8

Unit cell a=6.2361 b=6.2361 c=8.7219 alpha=90.00 beta=90.00 gamma=120.00
Closest atoms and distances in Å follow each position.
Space group P-3m1 (No. 164)
One atom of each set of equivalent atoms:
Ce  0.3333  0.6667  0.4252 x2  1 Sm 3.12, 9 Ga 3.21-3.48
Sm  0.0000  0.0000  0.0000 x1  6 Ga 3.01
Sm  0.0000  0.0000  0.5000 x1  6 Ga 3.00
Sm  0.3333  0.6667  0.0672 x2  1 Ce 3.12, 3 Ga 3.17
Ga  0.1917  0.3835  0.7493 x6  2 Ga 2.65

***

Ce2Sm5Ga5: optimized geometry, PBE-GGA.

Values from the calculation:
Uncorrected energy in Ry/atom: -0.334
Magnetic moment in μB per formula unit: 1.0

Unit cell a=11.7292 b=4.6783 c=12.4415 alpha=90.00 beta=111.53 gamma=90.00
Closest atoms and distances in Å follow each position.
Space group C2/m (No. 12)
One atom of each set of equivalent atoms:
Ce  0.0528  0.0000  0.2654 x4  4 Ga 3.06-3.20, 2 Sm 3.32
Sm  0.0000  0.5000  0.0000 x2  4 Ga 3.22
Sm  0.1541  0.5000  0.5133 x4  3 Ga 2.92-3.18
Sm  0.1617  0.5000  0.7925 x4  5 Ga 2.97-3.12, 2 Ce 3.32
Ga  0.0000  0.0000  0.5000 x2  4 Sm 2.92, 2 Ce 3.20, 2 Ga 3.27
Ga  0.1695  0.0000  0.9615 x4  2 Ga 2.94, 5 Sm 2.97-3.22, 1 Ce 3.06
Ga  0.2296  0.5000  0.2930 x4  5 Sm 3.04-3.28, 2 Ce 3.06, 1 Ga 3.27

***

CeSmGa: optimized geometry, PBE-GGA.

Values from the calculation:
Energy relative to the lowest polymorph listed for this composition in eV/f.u.: 0.00
Magnetic moment in μB per formula unit: 0.0

Unit cell a=3.3990 b=16.8625 c=5.1984 alpha=90.00 beta=90.00 gamma=90.00
Closest atoms and distances in Å follow each position.
Space group Cmcm (No. 63)
One atom of each set of equivalent atoms:
Ce  0.0000  0.2412  0.2500 x4  4 Ga 3.11-3.48, 6 Ce 3.12-3.40, 2 Sm 3.44
Sm  0.0000  0.4363  0.7500 x4  6 Ga 3.18-3.31, 4 Sm 3.37-3.40, 2 Ce 3.44
Ga  0.0000  0.1044  0.7500 x4  4 Ce 3.11-3.48, 6 Sm 3.18-3.31, 2 Ga 3.40

***

CeSmGa: optimized geometry, PBE-GGA.

Values from the calculation:
Energy relative to the lowest polymorph listed for this composition in eV/f.u.: 0.23
Magnetic moment in μB per formula unit: 1.3

Unit cell a=3.6734 b=3.6734 c=12.1642 alpha=90.00 beta=90.00 gamma=90.00
Closest atoms and distances in Å follow each position.
Space group I4mm (No. 107)
One atom of each set of equivalent atoms:
Ce  0.0000  0.0000  0.0000 x2  4 Ga 3.15, 1 Sm 3.52
Sm  0.0000  0.0000  0.7105 x2  4 Ga 3.13
Ga  0.0000  0.0000  0.3534 x2  4 Sm 3.13, 4 Ce 3.15

***

CeSmGa4: optimized geometry, PBE-GGA.

Values from the calculation:
Energy relative to the lowest polymorph listed for this composition in eV/f.u.: 0.66
Magnetic moment in μB per formula unit: 0.9

Unit cell a=7.9082 b=7.9082 c=7.9082 alpha=90.00 beta=90.00 gamma=90.00
Closest atoms and distances in Å follow each position.
Space group F-43m (No. 216)
One atom of each set of equivalent atoms:
Ce  0.0000  0.0000  0.0000 x4  12 Ga 3.28, 4 Sm 3.42
Sm  0.2500  0.2500  0.2500 x4  12 Ga 3.28, 4 Ce 3.42
Ga  0.1254  0.1254  0.6254 x16  6 Ga 2.79-2.81

***

CeSm2Ga2: optimized geometry, PBE-GGA.

Values from the calculation:
Energy relative to the lowest polymorph listed for this composition in eV/f.u.: 0.00
Magnetic moment in μB per formula unit: 0.3

Unit cell a=4.6579 b=6.6643 c=8.4780 alpha=90.00 beta=90.00 gamma=90.00
Closest atoms and distances in Å follow each position.
Space group Immm (No. 71)
One atom of each set of equivalent atoms:
Ce  0.0000  0.0000  0.0000 x2  4 Ga 3.07
Sm  0.0000  0.5000  0.1996 x4  6 Ga 3.17-3.24, 1 Sm 3.38, 2 Ce 3.45
Ga  0.0000  0.1993  0.5000 x4  1 Ga 2.66

***

Ce2SmGa: optimized geometry, PBE-GGA.

Values from the calculation:
Energy relative to the lowest polymorph listed for this composition in eV/f.u.: 1.08
Magnetic moment in μB per formula unit: 1.3

Unit cell a=7.5302 b=7.5302 c=7.5302 alpha=90.00 beta=90.00 gamma=90.00
Closest atoms and distances in Å follow each position.
Space group Fm-3m (No. 225)
One atom of each set of equivalent atoms:
Ce  0.2500  0.2500  0.2500 x8  4 Ga 3.26, 4 Sm 3.26
Sm  0.0000  0.0000  0.0000 x4  8 Ce 3.26
Ga  0.0000  0.0000  0.5000 x4  8 Ce 3.26

***

CeSmGaTc: optimized geometry, PBE-GGA.

Values from the calculation:
Uncorrected energy in Ry/atom: -0.455
Magnetic moment in μB per formula unit: 0.0

Unit cell a=7.1135 b=7.1135 c=7.1135 alpha=90.00 beta=90.00 gamma=90.00
Closest atoms and distances in Å follow each position.
Space group F-43m (No. 216)
One atom of each set of equivalent atoms:
Ce  0.0000  0.0000  0.0000 x4  4 Tc 3.08, 4 Ga 3.08
Sm  0.0000  0.0000  0.5000 x4  4 Tc 3.08, 4 Ga 3.08
Ga  0.2500  0.2500  0.2500 x4  4 Ce 3.08, 4 Sm 3.08
Tc  0.2500  0.2500  0.7500 x4  4 Ce 3.08, 4 Sm 3.08

***

CeSmThGa: optimized geometry, PBE-GGA.

Values from the calculation:
Uncorrected energy in Ry/atom: -0.389
Magnetic moment in μB per formula unit: 0.7

Unit cell a=7.5363 b=7.5363 c=7.5363 alpha=90.00 beta=90.00 gamma=90.00
Closest atoms and distances in Å follow each position.
Space group F-43m (No. 216)
One atom of each set of equivalent atoms:
Ce  0.0000  0.0000  0.0000 x4  4 Th 3.26, 4 Sm 3.26
Sm  0.2500  0.2500  0.7500 x4  4 Ce 3.26, 4 Ga 3.26
Th  0.2500  0.2500  0.2500 x4  4 Ce 3.26, 4 Ga 3.26
Ga  0.0000  0.0000  0.5000 x4  4 Sm 3.26, 4 Th 3.26

***

CeSm2Zn2Ga2: optimized geometry, PBE-GGA.

Values from the calculation:
Uncorrected energy in Ry/atom: -0.279
Magnetic moment in μB per formula unit: 1.0

Unit cell a=4.4965 b=4.4965 c=28.2006 alpha=90.00 beta=90.00 gamma=120.00
Closest atoms and distances in Å follow each position.
Space group R-3m (No. 166, hexagonal axes)
One atom of each set of equivalent atoms:
Ce  0.0000  0.0000  0.0000 x3  6 Zn 3.16, 6 Ga 3.23
Sm  0.0000  0.0000  0.1263 x6  3 Ga 3.07, 3 Zn 3.14
Zn  0.0000  0.0000  0.3970 x6  3 Ga 2.60
Ga  0.0000  0.0000  0.2651 x6  3 Zn 2.60

***

CeGaSn: optimized geometry, PBE-GGA.

Values from the calculation:
Energy relative to the lowest polymorph listed for this composition in eV/f.u.: 0.16
Magnetic moment in μB per formula unit: 1.0

Unit cell a=4.6166 b=7.8654 c=8.3169 alpha=90.00 beta=90.00 gamma=90.00
Closest atoms and distances in Å follow each position.
Space group Cmcm (No. 63)
One atom of each set of equivalent atoms:
Ce  0.0000  0.0000  0.0000 x4  6 Ga 3.33-3.38, 6 Sn 3.35-3.37
Ga  0.0000  0.3308  0.2500 x4  3 Sn 2.64-2.65
Sn  0.0000  0.3340  0.7500 x4  3 Ga 2.64-2.65

***

Ce6Ga2Sn: optimized geometry, PBE-GGA.

Values from the calculation:
Energy relative to the lowest polymorph listed for this composition in eV/f.u.: 0.45
Magnetic moment in μB per formula unit: 2.2

Unit cell a=8.9376 b=8.9376 c=3.0330 alpha=90.00 beta=90.00 gamma=120.00
Closest atoms and distances in Å follow each position.
Space group P6/mmm (No. 191)
One atom of each set of equivalent atoms:
Ce  0.0000  0.3451  0.0000 x6  5 Ce 2.77-3.08
Ga  0.3333  0.6667  0.5000 x2  2 Ga 3.03, 12 Ce 3.30
Sn  0.0000  0.0000  0.5000 x1  2 Sn 3.03

***

Ce7Ga2Sn: optimized geometry, PBE-GGA.

Values from the calculation:
Uncorrected energy in Ry/atom: -0.373
Magnetic moment in μB per formula unit: 7.3

Unit cell a=8.3171 b=14.6072 c=5.2979 alpha=90.00 beta=90.00 gamma=90.00
Closest atoms and distances in Å follow each position.
Space group Cmmm (No. 65)
One atom of each set of equivalent atoms:
Ce  0.0000  0.0000  0.0000 x2  2 Ga 2.87
Ce  0.0000  0.2705  0.5000 x4  2 Ga 2.86
Ce  0.1666  0.3851  0.0000 x8  1 Ce 2.77, 2 Ga 3.02-3.08
Ga  0.0000  0.1965  0.0000 x4  7 Ce 2.86-3.08
Sn  0.0000  0.5000  0.5000 x2  10 Ce 3.35-3.43

***

Ce4GaSn2: optimized geometry, PBE-GGA.

Values from the calculation:
Uncorrected energy in Ry/atom: -0.391
Magnetic moment in μB per formula unit: 4.1

Unit cell a=4.6804 b=4.1535 c=10.0094 alpha=90.00 beta=91.83 gamma=90.00
Closest atoms and distances in Å follow each position.
Space group Pm (No. 6)
One atom of each set of equivalent atoms:
Ce  0.0000  0.0000  0.0000 x1  1 Ce 2.84, 2 Sn 3.18
Ce  0.0252  0.5000  0.3058 x1  2 Ce 2.99, 4 Ga 3.16
Ce  0.5386  0.5000  0.4919 x1  2 Ce 2.99, 2 Ga 3.11, 2 Sn 3.22-3.24
Ce  0.5688  0.0000  0.7935 x1  1 Ce 2.84
Ga  0.5218  0.0000  0.2606 x1  2 Sn 2.86, 6 Ce 3.11-3.16
Sn  0.0574  0.5000  0.7146 x1  8 Ce 3.21-3.55
Sn  0.5090  0.5000  0.0636 x1  2 Ga 2.86, 2 Ce 3.18

***

Ce2GaSn4: optimized geometry, PBE-GGA.

Values from the calculation:
Energy relative to the lowest polymorph listed for this composition in eV/f.u.: 0.40
Magnetic moment in μB per formula unit: 1.4

Unit cell a=4.5161 b=4.5161 c=9.2683 alpha=90.00 beta=90.00 gamma=90.00
Closest atoms and distances in Å follow each position.
Space group P-4m2 (No. 115)
One atom of each set of equivalent atoms:
Ce  0.0000  0.5000  0.2289 x2  2 Ga 3.10, 8 Sn 3.22-3.38
Ga  0.5000  0.5000  0.0000 x1  4 Sn 2.82, 4 Ce 3.10
Sn  0.0000  0.0000  0.5000 x1  4 Sn 3.19, 4 Ce 3.38
Sn  0.0000  0.5000  0.8171 x2  2 Ga 2.82
Sn  0.5000  0.5000  0.5000 x1  4 Sn 3.19, 4 Ce 3.38

***

Ce2GaSn: optimized geometry, PBE-GGA.

Values from the calculation:
Uncorrected energy in Ry/atom: -0.386
Magnetic moment in μB per formula unit: 1.9

Unit cell a=4.0447 b=4.0447 c=6.2375 alpha=90.00 beta=90.00 gamma=90.00
Closest atoms and distances in Å follow each position.
Space group P4/mmm (No. 123)
One atom of each set of equivalent atoms:
Ce  0.0000  0.0000  0.2282 x2  1 Ce 2.85
Ga  0.5000  0.5000  0.0000 x1  2 Sn 3.12, 8 Ce 3.19
Sn  0.5000  0.5000  0.5000 x1  2 Ga 3.12, 8 Ce 3.32

***

Ce2GaSn4: optimized geometry, PBE-GGA.

Values from the calculation:
Energy relative to the lowest polymorph listed for this composition in eV/f.u.: 0.00
Magnetic moment in μB per formula unit: 0.9

Unit cell a=9.0908 b=9.2912 c=4.5351 alpha=90.00 beta=90.00 gamma=90.00
Closest atoms and distances in Å follow each position.
Space group Cmmm (No. 65)
One atom of each set of equivalent atoms:
Ce  0.2390  0.0000  0.0000 x4  2 Ga 3.14, 8 Sn 3.24-3.27
Ga  0.0000  0.0000  0.5000 x2  4 Ce 3.14, 8 Sn 3.25-3.34
Sn  0.0000  0.2632  0.0000 x4  4 Sn 3.21, 4 Ce 3.24-3.27, 2 Ga 3.34
Sn  0.2500  0.2500  0.5000 x4  4 Sn 3.21, 4 Ce 3.25, 2 Ga 3.25

***

CeGaSn2: optimized geometry, PBE-GGA.

Values from the calculation:
Energy relative to the lowest polymorph listed for this composition in eV/f.u.: 1.13
Magnetic moment in μB per formula unit: 1.0

Unit cell a=4.8742 b=4.8742 c=15.4373 alpha=90.00 beta=90.00 gamma=120.00
Closest atoms and distances in Å follow each position.
Space group R-3m (No. 166, hexagonal axes)
One atom of each set of equivalent atoms:
Ce  0.0000  0.0000  0.0000 x3  8 Sn 3.30-3.43
Ga  0.0000  0.0000  0.5000 x3  6 Sn 2.94
Sn  0.0000  0.0000  0.2222 x6  3 Ga 2.94

***

Ce2Ga3Sn: optimized geometry, PBE-GGA.

Values from the calculation:
Uncorrected energy in Ry/atom: -0.346
Magnetic moment in μB per formula unit: 1.7

Unit cell a=8.4876 b=8.7951 c=15.2394 alpha=90.00 beta=90.00 gamma=90.00
Closest atoms and distances in Å follow each position.
Space group Fmmm (No. 69)
One atom of each set of equivalent atoms:
Ce  0.2490  0.0000  0.0000 x8  10 Ga 3.24-3.34, 2 Sn 3.31
Ce  0.2500  0.2500  0.2500 x8  4 Sn 3.31, 8 Ga 3.35
Ga  0.0000  0.0000  0.3396 x8  2 Ga 2.44, 1 Sn 2.63
Ga  0.0000  0.2408  0.4197 x16  2 Ga 2.44-2.45, 1 Sn 2.63
Sn  0.0000  0.0000  0.1670 x8  3 Ga 2.63

***

Ce4GaSn: optimized geometry, PBE-GGA.

Values from the calculation:
Uncorrected energy in Ry/atom: -0.399
Magnetic moment in μB per formula unit: 1.8

Unit cell a=5.1449 b=6.2020 c=8.9597 alpha=90.00 beta=90.00 gamma=90.00
Closest atoms and distances in Å follow each position.
Space group Immm (No. 71)
One atom of each set of equivalent atoms:
Ce  0.0000  0.2453  0.1663 x8  5 Ce 2.98-3.16
Ga  0.0000  0.5000  0.5000 x2  2 Sn 3.10, 12 Ce 3.34-3.38
Sn  0.0000  0.0000  0.5000 x2  2 Ga 3.10, 12 Ce 3.35-3.37

***

| no. | density of states at the Fermi level (states/eV/cell) |
| --- | --- |
| 1 | 17.02 |
| 2 | 32.91 |
| 3 | 17.39 |
| 4 | 13.51 |
| 5 | 30.26 |
| 6 | 11.06 |
| 7 | 46.41 |
| 8 | 10.93 |
| 9 | 32.69 |
| 10 | 22.92 |
| 11 | 25.85 |
| 12 | 22.22 |
| 13 | 64.10 |
| 14 | 19.35 |
| 15 | 10.05 |
| 16 | 9.39 |
| 17 | 17.35 |
| 18 | 18.46 |
| 19 | 100.49 |
| 20 | 31.84 |